Density functional theory data (GGA+U) for KTmVF6 after structural relaxation.

abc: 8.085 7.722 7.917
angles: 119.19 120.70 90.00
Site moments in Bohr magnetons follow the coordinates.
Positions (direct):
F: 0.820 0.070 0.639  0.00
F: 0.817 0.089 0.265  0.00
F: 0.183 0.911 0.735  0.00
F: 0.553 0.911 0.735  0.00
F: 0.447 0.676 0.265  0.00
F: 0.817 0.676 0.265  0.00
F: 0.567 0.317 0.134  0.01
F: 0.180 0.930 0.361  0.00
F: 0.447 0.089 0.265  0.00
F: 0.183 0.324 0.735  0.00
F: 0.433 0.683 0.866  0.01
F: 0.553 0.324 0.735  0.00
K: 0.794 0.544 0.588  0.00
K: 0.206 0.456 0.412  0.00
Tm: 0.000 0.000 0.500  0.00
Tm: 0.500 0.000 0.500  0.00
V: 0.500 0.000 0.000  2.76
V: 0.500 0.500 0.000  2.76

Values from the calculation:
Final energy (eV per atom): -6.03